# 1
# Tb3TlPb3

Crystalline Tb3TlPb3 at its relaxed geometry (PBE, Alexandria).

Cell: 8.9878 8.9878 5.8253 Å, 90.00 90.00 120.00°
Last column: nearest neighbours and their distance in Å.
Space group P6_3/m (No. 176)
Unique sites:
Tb: 0.0899 0.6415 0.2500  5 Pb 3.19-3.48, 1 Tl 3.41
Tl: 0.3333 0.6667 0.7500  3 Pb 3.25, 9 Tb 3.41-3.58
Pb: 0.0542 0.7968 0.7500  5 Tb 3.19-3.48, 1 Tl 3.25

## Properties
For the formation energy, the calculation gives -1.8 eV/f.u. Its volume is 29.11 A^3/atom. The total energy comes out at -4.174 eV/atom.



# 2
# Pr4Zn3Ga

Crystalline Pr4Zn3Ga at its relaxed geometry (PBE, Alexandria).

Cell: 3.7459 4.5706 12.1609 Å, 90.00 90.00 90.00°
Last column: nearest neighbours and their distance in Å.
Space group Pmm2 (No. 25)
Unique sites:
Pr: 0.0000 0.0000 0.0000  6 Zn 3.14-3.21, 1 Ga 3.43
Pr: 0.0000 0.5000 0.3027  7 Zn 3.14-3.46
Pr: 0.5000 0.0000 0.4986  5 Zn 3.14-3.45, 2 Ga 3.26
Pr: 0.5000 0.5000 0.8026  4 Ga 3.13, 3 Zn 3.22-3.47
Zn: 0.0000 0.5000 0.5868  2 Ga 2.78
Zn: 0.5000 0.0000 0.2147  2 Zn 2.75
Zn: 0.5000 0.5000 0.0883  2 Zn 2.75
Ga: 0.0000 0.0000 0.7176  2 Zn 2.78

## Properties
For the formation energy, the calculation gives -2.6 eV/f.u. Its volume is 26.03 A^3/atom. As for the relative energy among the computed polymorphs: 0.033 eV/atom. The total energy comes out at -3.576 eV/atom.



# 3
# ReCSN2

Crystalline ReCSN2 at its relaxed geometry (PBE, Alexandria).

Cell: 3.7695 3.7695 5.0341 Å, 90.00 90.00 90.00°
Last column: nearest neighbours and their distance in Å.
Space group P4/mmm (No. 123)
Unique sites:
Re: 0.0000 0.0000 0.0000  4 N 1.88
C: 0.5000 0.5000 0.5000  4 S 2.67
S: 0.0000 0.0000 0.5000  2 Re 2.52, 4 C 2.67
N: 0.0000 0.5000 0.0000  2 Re 1.88

## Properties
Its volume is 14.31 A^3/atom. As for the relative energy among the computed polymorphs: 0.000 eV/atom. The total energy comes out at -6.790 eV/atom.



# 4
# KSr2Ca

Crystalline KSr2Ca at its relaxed geometry (PBE, Alexandria).

Cell: 8.5610 11.9709 4.1783 Å, 90.00 90.00 90.00°
Last column: nearest neighbours and their distance in Å.
Space group Cmmm (No. 65)
Unique sites:
K: 0.0000 0.0000 0.0000  2 K 4.18, 8 Sr 4.23, 2 Ca 4.28
Sr: 0.2500 0.2500 0.5000  4 Sr 4.18-4.28, 4 K 4.23, 4 Ca 4.23
Ca: 0.0000 0.5000 0.0000  2 Ca 4.18, 8 Sr 4.23, 2 K 4.28

## Properties
For the formation energy, the calculation gives 0.4 eV/f.u. Its volume is 53.53 A^3/atom. As for the relative energy among the computed polymorphs: 0.040 eV/atom. The total energy comes out at -1.510 eV/atom.



# 5
# Zn2CdBi

Crystalline Zn2CdBi at its relaxed geometry (PBE, Alexandria).

Cell: 4.6107 4.6107 14.7858 Å, 90.00 90.00 120.00°
Last column: nearest neighbours and their distance in Å.
Space group R-3m (No. 166, hexagonal axes)
Unique sites:
Zn: 0.0000 0.0000 0.2337  3 Cd 2.84, 3 Bi 3.04
Cd: 0.0000 0.0000 0.5000  6 Zn 2.84
Bi: 0.0000 0.0000 0.0000  6 Zn 3.04

## Properties
For the formation energy, the calculation gives 0.6 eV/f.u. Its volume is 22.68 A^3/atom. As for the relative energy among the computed polymorphs: 0.010 eV/atom. The total energy comes out at -1.684 eV/atom.



# 6
# YFeAs2Br

Crystalline YFeAs2Br at its relaxed geometry (PBE, Alexandria).

Cell: 5.4899 5.4899 5.3884 Å, 90.00 90.00 90.00°
Last column: nearest neighbours and their distance in Å.
Space group P4/mmm (No. 123)
Unique sites:
Y: 0.0000 0.0000 0.0000  2 Br 2.69, 4 As 2.74
Fe: 0.5000 0.5000 0.5000  8 As 3.85, 4 Br 3.88
As: 0.0000 0.5000 0.0000  2 Y 2.74
Br: 0.0000 0.0000 0.5000  2 Y 2.69

## Properties
Its volume is 32.48 A^3/atom. As for the relative energy among the computed polymorphs: 0.755 eV/atom. The total energy comes out at -4.637 eV/atom.